Entry 1:
Entry from Alexandria: LaTlRe2 after structural relaxation (PBE).

abc: 4.984 3.266 5.689
angles: 89.87 90.00 90.00
Fractional positions:
Tl: 0.500 0.250 0.250
Re: 0.000 0.251 0.548
Re: 0.000 0.249 0.952
La: 0.500 0.750 0.750

Properties
Energy of formation from the pure elements: 3.1 eV per formula unit
DOS at the Fermi energy: 3.76 states/eV/cell
M_tot: 0.0 μB/f.u.
Crystal system: monoclinic
E above lowest polymorph: 0.584 eV/atom
Raw total energy: -7.273 eV per atom
Calculated density: 12834 kg/m3

---

Entry 2:
Entry from Alexandria: Nb2MoP after structural relaxation (PBE).

abc: 7.006 7.006 5.695
angles: 52.04 52.04 90.00
Fractional positions:
Mo: 0.750 0.250 0.500
Mo: 0.000 0.000 0.000
Nb: 0.154 0.625 0.250
Nb: 0.375 0.404 0.750
Nb: 0.875 0.846 0.750
Nb: 0.596 0.125 0.250
P: 0.500 0.500 0.000
P: 0.250 0.750 0.500

Properties
Energy of formation from the pure elements: 0.8 eV per formula unit
DOS at the Fermi energy: 7.54 states/eV/cell
M_tot: 0.0 μB/f.u.
Crystal system: tetragonal
E above lowest polymorph: 0.263 eV/atom
Raw total energy: -8.891 eV per atom
Calculated density: 7532 kg/m3

---

Entry 3:
Entry from Alexandria: Mg4CuCl after structural relaxation (PBE).

abc: 5.794 5.794 5.794
angles: 60.00 60.00 60.00
Fractional positions:
Mg: 0.374 0.878 0.374
Mg: 0.374 0.374 0.878
Mg: 0.878 0.374 0.374
Mg: 0.374 0.374 0.374
Cu: 0.000 0.000 0.000
Cl: 0.750 0.750 0.750

Properties
DOS at the Fermi energy: 5.61 states/eV/cell
M_tot: 0.0 μB/f.u.
Crystal system: cubic
Uncorrected formation energy: 0.1929 eV per atom
Raw total energy: -1.861 eV per atom
Calculated density: 2369 kg/m3

---

Entry 4:
Entry from Alexandria: LaTe2N2 after structural relaxation (PBE).

abc: 4.344 4.344 7.195
angles: 90.00 90.00 90.00
Each line ends with the local moment (μB).
Fractional positions:
Te: 0.500 0.500 0.500  0.00
Te: 0.000 0.000 0.500  0.00
N: 0.000 0.500 0.000  0.07
N: 0.500 0.000 0.000  0.07
La: 0.000 0.000 0.000  0.00

Properties
DOS at the Fermi energy: 4.50 states/eV/cell
M_tot: 0.2 μB/f.u.
Crystal system: tetragonal
Uncorrected formation energy: 0.6955 eV per atom
E above lowest polymorph: 0.097 eV/atom
Raw total energy: -4.877 eV per atom
Calculated density: 5163 kg/m3

---

Entry 5:
Entry from Alexandria: Mn2SiP after structural relaxation (PBE).

abc: 2.799 3.927 3.927
angles: 90.00 90.00 90.00
Fractional positions:
Mn: 0.000 0.000 0.500
Mn: 0.000 0.500 0.000
Si: 0.500 0.000 0.000
P: 0.500 0.500 0.500

Properties
DOS at the Fermi energy: 3.08 states/eV/cell
M_tot: 0.0 μB/f.u.
Crystal system: tetragonal
Uncorrected formation energy: -0.3063 eV per atom
Raw total energy: -7.599 eV per atom
Calculated density: 6497 kg/m3

---

Entry 6:
Entry from Alexandria: YZrBr2 after structural relaxation (PBE).

abc: 6.888 6.888 6.888
angles: 146.27 146.27 48.44
Each line ends with the local moment (μB).
Fractional positions:
Br: 0.250 0.750 0.500  0.00
Br: 0.000 0.000 0.000  0.00
Y: 0.500 0.500 0.000  0.02
Zr: 0.750 0.250 0.500  0.10

Properties
DOS at the Fermi energy: 4.92 states/eV/cell
M_tot: 0.2 μB/f.u.
Crystal system: tetragonal
Uncorrected formation energy: -0.3084 eV per atom
E above lowest polymorph: 0.751 eV/atom
Raw total energy: -4.898 eV per atom
Calculated density: 5626 kg/m3

---

Entry 7:
Entry from Alexandria: CsRb3Fe4I12 after structural relaxation (PBE).

abc: 10.942 10.942 10.942
angles: 101.06 101.06 101.06
Each line ends with the local moment (μB).
Fractional positions:
I: 0.349 0.651 0.500  0.08
I: 0.183 0.337 0.948  0.09
I: 0.052 0.663 0.817  0.09
I: 0.500 0.105 0.895  0.10
I: 0.895 0.500 0.105  0.10
I: 0.500 0.349 0.651  0.08
I: 0.337 0.948 0.183  0.09
I: 0.651 0.500 0.349  0.08
I: 0.663 0.817 0.052  0.09
I: 0.948 0.183 0.337  0.09
I: 0.817 0.052 0.663  0.09
I: 0.105 0.895 0.500  0.10
Fe: 0.500 0.955 0.045  3.32
Fe: 0.045 0.500 0.955  3.32
Fe: 0.955 0.045 0.500  3.32
Fe: 0.500 0.500 0.500  3.31
Cs: 0.000 0.000 0.000  0.00
Rb: 0.533 0.467 0.000  0.00
Rb: 0.000 0.533 0.467  0.00
Rb: 0.467 0.000 0.533  0.00

Properties
DOS at the Fermi energy: 13.92 states/eV/cell
M_tot: 16.0 μB/f.u.
Crystal system: trigonal
Uncorrected formation energy: -0.5873 eV per atom
Raw total energy: -3.398 eV per atom
Calculated density: 2893 kg/m3

---

Entry 8:
Entry from Alexandria: PmZrInPb after structural relaxation (PBE).

abc: 5.299 5.299 5.299
angles: 60.00 60.00 60.00
Each line ends with the local moment (μB).
Fractional positions:
Zr: 0.000 0.000 0.000  0.62
In: 0.250 0.250 0.250  0.01
Pb: 0.750 0.750 0.750  0.01
Pm: 0.500 0.500 0.500  0.13

Properties
Energy of formation from the pure elements: -0.8 eV per formula unit
DOS at the Fermi energy: 4.17 states/eV/cell
M_tot: 1.3 μB/f.u.
Crystal system: cubic
Raw total energy: -5.127 eV per atom
Calculated density: 8813 kg/m3